1.
A geometry-optimized HfPtNO2 structure, computed with PBE.

The density is 11.23 g/cm3. As for the space group: No. 123.

Unit cell a=3.933 b=3.933 c=4.010 alpha=90.00 beta=90.00 gamma=90.00
Element x y z (fractional)
Hf  0.500  0.500  0.500
O  0.000  0.500  0.000
O  0.500  0.000  0.000
Pt  0.000  0.000  0.000
N  0.000  0.000  0.500



2.
A geometry-optimized RbHfNO2 structure, computed with PBE.

The density is 6.54 g/cm3. As for the space group: No. 123.

Unit cell a=4.183 b=4.183 c=4.497 alpha=90.00 beta=90.00 gamma=90.00
Site moments in Bohr magnetons follow the coordinates.
Element x y z (fractional)
Hf  0.000  0.000  0.000  -0.09
O  0.000  0.500  0.000  0.20
O  0.500  0.000  0.000  0.20
Rb  0.500  0.500  0.500  0.03
N  0.000  0.000  0.500  1.03



3.
A geometry-optimized RbHfNO2 structure, computed with PBE.

The density is 6.56 g/cm3. As for the space group: No. 123.

Unit cell a=4.242 b=4.242 c=4.360 alpha=90.00 beta=90.00 gamma=90.00
Element x y z (fractional)
Hf  0.500  0.500  0.500
O  0.000  0.500  0.000
O  0.500  0.000  0.000
Rb  0.000  0.000  0.000
N  0.000  0.000  0.500



4.
A geometry-optimized Hf2ReNO structure, computed with PBE.

The density is 9.99 g/cm3. As for the space group: No. 123.

Unit cell a=5.065 b=3.714 c=5.065 alpha=90.00 beta=90.00 gamma=90.00
Site moments in Bohr magnetons follow the coordinates.
Element x y z (fractional)
Re  0.000  0.000  0.000  -0.01
Hf  0.000  0.000  0.500  0.18
Hf  0.500  0.000  0.000  0.23
O  0.000  0.500  0.000  0.02
N  0.500  0.500  0.500  -0.04



5.
A geometry-optimized HfReN2O structure, computed with PBE.

The density is 11.58 g/cm3. As for the space group: No. 123.

Unit cell a=3.902 b=3.902 c=3.851 alpha=90.00 beta=90.00 gamma=90.00
Element x y z (fractional)
Re  0.000  0.000  0.000
Hf  0.500  0.500  0.500
O  0.000  0.000  0.500
N  0.000  0.500  0.000
N  0.500  0.000  0.000



6.
A geometry-optimized HfReN2O structure, computed with PBE.

The density is 9.69 g/cm3. As for the space group: No. 123.

Unit cell a=4.228 b=4.228 c=3.919 alpha=90.00 beta=90.00 gamma=90.00
Site moments in Bohr magnetons follow the coordinates.
Element x y z (fractional)
Re  0.500  0.500  0.500  3.36
Hf  0.000  0.000  0.000  0.01
O  0.000  0.000  0.500  0.05
N  0.000  0.500  0.000  -0.33
N  0.500  0.000  0.000  -0.33



7.
A geometry-optimized HfS2NO structure, computed with PBE.

The density is 7.07 g/cm3. As for the space group: No. 123.

Unit cell a=3.998 b=3.998 c=4.008 alpha=90.00 beta=90.00 gamma=90.00
Element x y z (fractional)
S  0.000  0.500  0.000
S  0.500  0.000  0.000
Hf  0.500  0.500  0.500
O  0.000  0.000  0.000
N  0.000  0.000  0.500



8.
A geometry-optimized HfS2NO structure, computed with PBE.

The density is 4.31 g/cm3. As for the space group: No. 123.

Unit cell a=4.996 b=4.996 c=4.204 alpha=90.00 beta=90.00 gamma=90.00
Site moments in Bohr magnetons follow the coordinates.
Element x y z (fractional)
S  0.000  0.500  0.000  0.51
S  0.500  0.000  0.000  0.51
Hf  0.000  0.000  0.000  -0.06
O  0.500  0.500  0.500  1.49
N  0.000  0.000  0.500  0.93



For reference, formation energy from raw total energies by record: -67; -1572; 1302; 830; -299; 454; 520; 533 meV per atom.
For reference, total moment by record: 0.0; 2.0; 0.0; 0.6; 0.0; 3.0; 0.0; 4.7 μB per formula unit.